# 1
Computed, not measured: a relaxed structure of NaLiCuBr2 at the GGA-PBE level of DFT.

Calculated values
SG	No. 123
DOS at the Fermi energy	3.8	states/eV/cell

The structure in POSCAR format:
```
NaLiCuBr2
1.0
4.978 0.000 0.000
0.000 4.978 0.000
0.000 0.000 5.297
Na Li Cu Br
1 1 1 2
Cartesian
0.000 0.000 0.000
0.000 0.000 2.649
2.489 2.489 0.000
0.000 2.489 2.649
2.489 0.000 2.649
```



# 2
Computed, not measured: a relaxed structure of NaLiCuBr3 at the GGA-PBE level of DFT.

Calculated values
SG	No. 11
DOS at the Fermi energy	0.0	states/eV/cell

The structure in POSCAR format:
```
NaLiCuBr3
1.0
8.088 0.000 0.000
0.000 3.941 0.000
-2.002 0.000 9.287
Na Li Cu Br
2 2 2 6
Cartesian
1.064 0.985 1.989
5.021 2.956 7.297
1.100 2.956 8.103
4.986 0.985 1.184
-0.559 0.985 5.356
6.645 2.956 3.930
-0.869 0.985 7.837
0.912 2.956 4.808
3.161 2.956 1.435
2.924 0.985 7.852
5.173 0.985 4.479
6.954 2.956 1.450
```



# 3
Computed, not measured: a relaxed structure of LiNpCu2Br8 at the GGA-PBE level of DFT.

Calculated values
SG	No. 119
DOS at the Fermi energy	12.1	states/eV/cell

The structure in POSCAR format:
```
LiNpCu2Br8
1.0
-4.563 4.563 4.294
4.563 -4.563 4.294
4.563 4.563 -4.294
Li Np Cu Br
1 1 2 8
Cartesian
0.000 0.000 0.000
0.000 4.563 2.147
4.563 0.000 2.147
0.000 0.000 4.294
2.858 0.000 0.409
6.267 0.000 0.409
4.563 2.760 -1.580
4.563 -1.704 3.884
0.000 1.803 2.714
4.563 1.704 3.884
2.760 4.563 1.580
1.803 0.000 5.874
```



# 4
Computed, not measured: a relaxed structure of LiCuBrO4 at the GGA-PBE level of DFT.

Calculated values
SG	No. 74
DOS at the Fermi energy	4.6	states/eV/cell

The structure in POSCAR format:
```
LiCuBrO4
1.0
-2.833 3.479 4.510
2.833 -3.479 4.510
2.833 3.479 -4.510
Li Cu Br O
2 2 2 8
Cartesian
0.000 0.000 0.000
0.000 3.479 0.000
-1.417 1.740 2.255
1.417 1.740 2.255
2.833 1.740 -1.457
0.000 1.740 5.967
1.446 1.740 -0.467
4.220 1.740 -0.467
0.000 0.546 2.004
2.833 0.546 2.506
0.000 2.934 2.004
2.833 2.934 2.506
-1.387 1.740 4.978
1.387 1.740 4.978
```



# 5
Computed, not measured: a relaxed structure of Li2CuBrO at the GGA-PBE level of DFT.

Calculated values
SG	No. 123
offset from the most stable computed form	1375.7	meV per atom
DOS at the Fermi energy	6.8	states/eV/cell

The structure in POSCAR format:
```
Li2CuBrO
1.0
4.949 0.000 0.000
0.000 4.949 0.000
0.000 0.000 4.568
Li Cu Br O
2 1 1 1
Cartesian
0.000 2.474 0.000
2.474 0.000 0.000
0.000 0.000 0.000
0.000 0.000 2.284
2.474 2.474 2.284
```



# 6
Computed, not measured: a relaxed structure of Li2CuBrO at the GGA-PBE level of DFT.

Calculated values
SG	No. 123
offset from the most stable computed form	0.0	meV per atom

The structure in POSCAR format:
```
Li2CuBrO
1.0
4.292 0.000 0.000
0.000 4.292 0.000
0.000 0.000 3.782
Li Cu Br O
2 1 1 1
Cartesian
0.000 2.146 0.000
2.146 0.000 0.000
0.000 0.000 1.891
2.146 2.146 1.891
0.000 0.000 0.000
```



# 7
Computed, not measured: a relaxed structure of Sr2LiCuBrO2 at the GGA-PBE level of DFT.

Calculated values
SG	No. 8
offset from the most stable computed form	0.0	meV per atom
DOS at the Fermi energy	2.1	states/eV/cell

The structure in POSCAR format:
```
Sr2LiCuBrO2
1.0
3.680 -2.111 0.000
3.680 2.111 0.000
-2.580 0.000 9.881
Sr Li Cu Br O
2 1 1 1 2
Cartesian
0.000 0.000 0.000
2.308 0.000 5.982
-0.136 0.000 3.881
-0.136 0.000 7.738
4.784 0.000 2.932
-0.138 0.000 5.765
-0.134 0.000 9.601
```



# 8
Computed, not measured: a relaxed structure of Sr2LiCuBrO2 at the GGA-PBE level of DFT.

Calculated values
SG	No. 160
offset from the most stable computed form	52.2	meV per atom
DOS at the Fermi energy	1.4	states/eV/cell

The structure in POSCAR format:
```
Sr2LiCuBrO2
1.0
2.033 1.174 10.017
-2.033 1.174 10.017
0.000 -2.348 10.017
Sr Li Cu Br O
2 1 1 1 2
Cartesian
0.000 0.000 0.000
0.000 0.000 14.704
0.000 0.000 18.011
0.000 0.000 7.101
0.000 0.000 22.205
0.000 0.000 5.227
0.000 0.000 9.080
```



# 9
Computed, not measured: a relaxed structure of LiCu2OsBr at the GGA-PBE level of DFT.

Calculated values
SG	No. 123
DOS at the Fermi energy	3.2	states/eV/cell

The structure in POSCAR format:
```
LiCu2OsBr
1.0
4.648 0.000 0.000
0.000 4.648 0.000
0.000 0.000 4.580
Li Cu Os Br
1 2 1 1
Cartesian
0.000 0.000 0.000
0.000 2.324 2.290
2.324 0.000 2.290
2.324 2.324 0.000
2.324 2.324 2.290
```



# 10
Computed, not measured: a relaxed structure of LiCuPb2Br at the GGA-PBE level of DFT.

Calculated values
SG	No. 123
DOS at the Fermi energy	1.9	states/eV/cell

The structure in POSCAR format:
```
LiCuPb2Br
1.0
5.355 0.000 0.000
0.000 5.355 0.000
0.000 0.000 4.488
Li Cu Pb Br
1 1 2 1
Cartesian
0.000 0.000 0.000
0.000 0.000 2.244
0.000 2.678 0.000
2.678 0.000 0.000
2.678 2.678 2.244
```



# 11
Computed, not measured: a relaxed structure of Li2CuPdBr at the GGA-PBE level of DFT.

Calculated values
SG	No. 123
DOS at the Fermi energy	0.6	states/eV/cell

The structure in POSCAR format:
```
Li2CuPdBr
1.0
4.590 0.000 0.000
0.000 4.590 0.000
0.000 0.000 4.782
Li Cu Pd Br
2 1 1 1
Cartesian
0.000 2.295 0.000
2.295 0.000 0.000
0.000 0.000 2.391
2.295 2.295 2.391
0.000 0.000 0.000
```



# 12
Computed, not measured: a relaxed structure of LiCuPtBr6 at the GGA-PBE level of DFT.

Calculated values
SG	No. 102
DOS at the Fermi energy	8.1	states/eV/cell

The structure in POSCAR format:
```
LiCuPtBr6
1.0
6.294 0.000 0.000
0.000 6.294 0.000
0.000 0.000 11.532
Li Cu Pt Br
2 2 2 12
Cartesian
0.000 0.000 0.000
3.147 3.147 5.766
0.000 0.000 3.745
3.147 3.147 9.511
0.000 0.000 7.673
3.147 3.147 1.907
1.166 1.166 5.773
1.211 1.211 9.514
1.299 1.299 1.986
1.848 4.446 7.752
1.936 4.358 3.748
1.981 4.313 0.007
4.313 1.981 0.007
4.358 1.936 3.748
4.446 1.848 7.752
4.995 4.995 1.986
5.083 5.083 9.514
5.128 5.128 5.773
```



# 13
Computed, not measured: a relaxed structure of RbLiCu2Br4 at the GGA-PBE level of DFT.

Calculated values
SG	No. 23
DOS at the Fermi energy	0.0	states/eV/cell

The structure in POSCAR format:
```
RbLiCu2Br4
1.0
-3.387 4.157 4.479
3.387 -4.157 4.479
3.387 4.157 -4.479
Rb Li Cu Br
1 1 2 4
Cartesian
0.000 0.000 0.000
0.000 0.000 4.479
3.387 0.000 3.187
0.000 4.157 1.293
1.810 2.779 -1.495
1.577 1.378 2.985
1.577 -1.378 5.974
1.810 5.535 1.495
```



# 14
Computed, not measured: a relaxed structure of Rb2LiCu2Br6 at the GGA-PBE level of DFT.

Calculated values
SG	No. 12
DOS at the Fermi energy	5.1	states/eV/cell

The structure in POSCAR format:
```
Rb2LiCu2Br6
1.0
6.802 -3.670 0.000
6.802 3.670 0.000
-3.922 0.000 7.293
Rb Li Cu Br
2 1 2 6
Cartesian
2.083 0.000 1.452
7.600 0.000 5.841
-1.961 0.000 3.647
3.076 0.000 5.356
6.607 0.000 1.937
5.261 1.897 1.620
0.848 0.000 4.723
4.422 1.897 5.673
5.261 -1.897 1.620
8.835 0.000 2.570
4.422 -1.897 5.673
```



# 15
Computed, not measured: a relaxed structure of RbLiCuBr3 at the GGA-PBE level of DFT.

Calculated values
SG	No. 12
DOS at the Fermi energy	0.0	states/eV/cell

The structure in POSCAR format:
```
RbLiCuBr3
1.0
5.916 -4.355 0.000
5.916 4.355 0.000
-3.190 0.000 7.577
Rb Li Cu Br
2 2 2 6
Cartesian
1.851 0.000 1.082
6.792 0.000 6.495
2.650 0.000 5.495
5.993 0.000 2.082
4.321 3.015 3.788
4.321 -3.015 3.788
0.551 0.000 4.235
4.713 2.030 1.583
3.930 2.030 5.993
4.713 -2.030 1.583
3.930 -2.030 5.993
8.092 0.000 3.342
```



# 16
Computed, not measured: a relaxed structure of RbLi4Cu3Br12 at the GGA-PBE level of DFT.

Calculated values
SG	No. 204
DOS at the Fermi energy	10.2	states/eV/cell

The structure in POSCAR format:
```
RbLi4Cu3Br12
1.0
-5.050 5.050 5.050
5.050 -5.050 5.050
5.050 5.050 -5.050
Rb Li Cu Br
1 4 3 12
Cartesian
0.000 0.000 0.000
2.525 2.525 -2.525
2.525 -2.525 2.525
-2.525 2.525 2.525
2.525 2.525 2.525
5.050 0.000 0.000
0.000 5.050 0.000
0.000 0.000 5.050
5.050 -1.754 3.368
3.297 1.683 0.000
6.804 1.683 0.000
3.368 5.050 -1.754
1.683 0.000 3.297
0.000 3.297 1.683
5.050 1.754 3.368
3.368 5.050 1.754
1.683 0.000 6.804
-1.754 3.368 5.050
1.754 3.368 5.050
0.000 6.804 1.683
```



# 17
Computed, not measured: a relaxed structure of Rb3LiCu2Br6 at the GGA-PBE level of DFT.

Calculated values
SG	No. 164
DOS at the Fermi energy	0.0	states/eV/cell

The structure in POSCAR format:
```
Rb3LiCu2Br6
1.0
7.824 0.000 0.000
-3.912 6.776 0.000
0.000 0.000 8.887
Rb Li Cu Br
3 1 2 6
Cartesian
0.000 0.000 0.000
0.000 4.517 5.857
3.912 2.259 3.030
0.000 0.000 4.444
0.000 4.517 2.531
3.912 2.259 6.356
0.000 2.168 2.658
-2.035 5.692 2.658
1.878 1.084 6.229
2.035 5.692 2.658
5.947 1.084 6.229
3.912 4.608 6.229
```



# 18
Computed, not measured: a relaxed structure of Rb2LiCuBr6 at the GGA-PBE level of DFT.

Calculated values
SG	No. 139
DOS at the Fermi energy	8.6	states/eV/cell

The structure in POSCAR format:
```
Rb2LiCuBr6
1.0
-3.741 3.741 5.299
3.741 -3.741 5.299
3.741 3.741 -5.299
Rb Li Cu Br
2 1 1 6
Cartesian
3.741 0.000 2.649
0.000 3.741 2.649
0.000 0.000 0.000
0.000 0.000 5.299
1.903 1.903 0.000
1.839 -1.839 5.299
0.000 0.000 2.819
0.000 0.000 7.778
-1.839 1.839 5.299
1.839 1.839 5.299
```



# 19
Computed, not measured: a relaxed structure of Rb2LiCuBr5 at the GGA-PBE level of DFT.

Calculated values
SG	No. 36
DOS at the Fermi energy	15.1	states/eV/cell

The structure in POSCAR format:
```
Rb2LiCuBr5
1.0
2.109 -10.246 0.000
2.109 10.246 0.000
0.000 0.000 14.006
Rb Li Cu Br
4 2 2 10
Cartesian
2.109 7.612 7.003
2.109 7.520 12.168
2.109 -7.520 5.165
2.109 -7.612 0.000
2.109 5.804 3.147
2.109 -5.804 10.150
2.109 1.299 8.499
2.109 -1.299 1.496
2.109 9.447 2.649
2.109 4.078 11.702
2.109 3.644 7.957
2.109 3.346 2.570
2.109 0.141 6.384
2.109 -0.141 13.387
2.109 -3.346 9.573
2.109 -3.644 0.954
2.109 -4.078 4.699
2.109 -9.447 9.652
```



# 20
Computed, not measured: a relaxed structure of Li2CuSBr at the GGA-PBE level of DFT.

Calculated values
SG	No. 123
DOS at the Fermi energy	0.0	states/eV/cell

The structure in POSCAR format:
```
Li2CuSBr
1.0
4.826 0.000 0.000
0.000 4.826 0.000
0.000 0.000 4.275
Li Cu S Br
2 1 1 1
Cartesian
0.000 2.413 0.000
2.413 0.000 0.000
0.000 0.000 2.138
0.000 0.000 0.000
2.413 2.413 2.138
```



For reference, energy relative to the elements, uncorrected by record: -0.24, -1.09, -0.80, -0.46, 0.18, -1.19, -1.69, -1.63, 1.36, 0.20, 0.05, -0.50, -0.96, -1.03, -1.13, -0.86, -1.15, -1.03, -1.18, -0.91 eV per atom.
For reference, raw total energy by record: -2.376, -3.149, -3.837, -4.395, -2.727, -4.103, -4.680, -4.628, -3.238, -2.824, -2.903, -2.952, -3.179, -3.039, -3.133, -2.910, -3.072, -2.825, -2.988, -3.660 eV per atom.